Density functional theory data (PBE) for a relaxed structure of SrLi2W.

Summary:
ΔE to the lowest computed polymorph   0.125 eV per atom
Size of the total moment   0.00 μB per atom
Final energy   -3.763 eV/atom

a = 2.9278 Å, b = 2.9278 Å, c = 9.5743 Å
α = 90.00°, β = 90.00°, γ = 90.00°
Space group P4/mmm (No. 123)
Inequivalent atoms, fractional coordinates:
Sr1 0.0000 0.0000 0.0000 x1
Li1 0.5000 0.5000 0.2952 x2
W1 0.0000 0.0000 0.5000 x1